# PBE K3Zn2AgF8, optimized geometry
data_K3Zn2AgF8
_chemical_formula_sum 'K3 Zn2 Ag1 F8'
_space_group_name_H-M_alt 'P -3 m 1'
_space_group_IT_number 164
_space_group_name_Hall '-P 3 2"'
_cell_length_a 6.1809
_cell_length_b 6.1809
_cell_length_c 7.7826
_cell_angle_alpha 90.00
_cell_angle_beta 90.00
_cell_angle_gamma 120.00
loop_
_atom_site_label
_atom_site_type_symbol
_atom_site_fract_x
_atom_site_fract_y
_atom_site_fract_z
_atom_site_occupancy
K1 K 0.0000 0.0000 0.0000 1
K2 K 0.3333 0.6667 0.6266 1
Zn1 Zn 0.3333 0.6667 0.1849 1
Ag1 Ag 0.0000 0.0000 0.5000 1
F1 F 0.1719 0.3438 0.2982 1
F2 F 0.3333 0.6667 0.9444 1
# formation energy (no corrections) = -221.35 kJ per mole of atoms
# Fermi-level density of states = 0.0 states/eV per cell

# PBE K2ZnAgF6, optimized geometry
data_K2ZnAgF6
_chemical_formula_sum 'K2 Zn1 Ag1 F6'
_space_group_name_H-M_alt 'P 4/m m m'
_space_group_IT_number 123
_space_group_name_Hall '-P 4 2'
_cell_length_a 4.2438
_cell_length_b 4.2438
_cell_length_c 8.7212
_cell_angle_alpha 90.00
_cell_angle_beta 90.00
_cell_angle_gamma 90.00
loop_
_atom_site_label
_atom_site_type_symbol
_atom_site_fract_x
_atom_site_fract_y
_atom_site_fract_z
_atom_site_occupancy
K1 K 0.0000 0.0000 0.2312 1
Zn1 Zn 0.5000 0.5000 0.0000 1
Ag1 Ag 0.5000 0.5000 0.5000 1
F1 F 0.0000 0.5000 0.0000 1
F2 F 0.0000 0.5000 0.5000 1
F3 F 0.5000 0.5000 0.2277 1
# formation energy (no corrections) = -212.23 kJ per mole of atoms
# Fermi-level density of states = 2.8 states/eV per cell

# PBE K4Zn3AgF12, optimized geometry
data_K4Zn3AgF12
_chemical_formula_sum 'K8 Zn6 Ag2 F24'
_space_group_name_H-M_alt 'I m -3 m'
_space_group_IT_number 229
_space_group_name_Hall '-I 4 2 3'
_cell_length_a 8.4100
_cell_length_b 8.4100
_cell_length_c 8.4100
_cell_angle_alpha 90.00
_cell_angle_beta 90.00
_cell_angle_gamma 90.00
loop_
_atom_site_label
_atom_site_type_symbol
_atom_site_fract_x
_atom_site_fract_y
_atom_site_fract_z
_atom_site_occupancy
K1 K 0.2500 0.2500 0.2500 1
Zn1 Zn 0.0000 0.0000 0.5000 1
Ag1 Ag 0.0000 0.0000 0.0000 1
F1 F 0.0000 0.0000 0.2651 1
F2 F 0.0000 0.2500 0.5000 1
# formation energy (no corrections) = -228.17 kJ per mole of atoms
# Fermi-level density of states = 11.6 states/eV per cell

# PBE KZn2AgF6, optimized geometry
data_KZn2AgF6
_chemical_formula_sum 'K4 Zn8 Ag4 F24'
_space_group_name_H-M_alt 'C 1 2/c 1'
_space_group_IT_number 15
_space_group_name_Hall '-C 2yc'
_cell_length_a 9.9468
_cell_length_b 11.6724
_cell_length_c 7.0022
_cell_angle_alpha 90.00
_cell_angle_beta 115.49
_cell_angle_gamma 90.00
loop_
_atom_site_label
_atom_site_type_symbol
_atom_site_fract_x
_atom_site_fract_y
_atom_site_fract_z
_atom_site_occupancy
K1 K 0.0000 0.1025 0.2500 1
Zn1 Zn 0.1388 0.4263 0.1842 1
Ag1 Ag 0.0000 0.2157 0.7500 1
F1 F 0.1012 0.4592 0.4460 1
F2 F 0.1047 0.2683 0.0956 1
F3 F 0.1478 0.0644 0.6715 1
# formation energy (no corrections) = -204.13 kJ per mole of atoms
# Fermi-level density of states = 0.0 states/eV per cell

# PBE KZn4Ag3F12, optimized geometry
data_KZn4Ag3F12
_chemical_formula_sum 'K2 Zn8 Ag6 F24'
_space_group_name_H-M_alt 'I m -3'
_space_group_IT_number 204
_space_group_name_Hall '-I 2 2 3'
_cell_length_a 8.1259
_cell_length_b 8.1259
_cell_length_c 8.1259
_cell_angle_alpha 90.00
_cell_angle_beta 90.00
_cell_angle_gamma 90.00
loop_
_atom_site_label
_atom_site_type_symbol
_atom_site_fract_x
_atom_site_fract_y
_atom_site_fract_z
_atom_site_occupancy
K1 K 0.0000 0.0000 0.0000 1
Zn1 Zn 0.2500 0.2500 0.2500 1
Ag1 Ag 0.0000 0.0000 0.5000 1
F1 F 0.0000 0.2821 0.2114 1
# formation energy (no corrections) = -190.32 kJ per mole of atoms

# PBE KZnAgF6, optimized geometry
data_KZnAgF6
_chemical_formula_sum 'K1 Zn1 Ag1 F6'
_space_group_name_H-M_alt 'P 3 1 2'
_space_group_IT_number 149
_space_group_name_Hall 'P 3 2'
_cell_length_a 5.6127
_cell_length_b 5.6127
_cell_length_c 5.6203
_cell_angle_alpha 90.00
_cell_angle_beta 90.00
_cell_angle_gamma 120.00
loop_
_atom_site_label
_atom_site_type_symbol
_atom_site_fract_x
_atom_site_fract_y
_atom_site_fract_z
_atom_site_occupancy
K1 K 0.0000 0.0000 0.0000 1
Zn1 Zn 0.6667 0.3333 0.5000 1
Ag1 Ag 0.3333 0.6667 0.5000 1
F1 F 0.3766 0.0086 0.7003 1
# formation energy (no corrections) = -180.93 kJ per mole of atoms

# PBE K4ZnAg3F12, optimized geometry
data_K4ZnAg3F12
_chemical_formula_sum 'K8 Zn2 Ag6 F24'
_space_group_name_H-M_alt 'I m -3 m'
_space_group_IT_number 229
_space_group_name_Hall '-I 4 2 3'
_cell_length_a 8.6661
_cell_length_b 8.6661
_cell_length_c 8.6661
_cell_angle_alpha 90.00
_cell_angle_beta 90.00
_cell_angle_gamma 90.00
loop_
_atom_site_label
_atom_site_type_symbol
_atom_site_fract_x
_atom_site_fract_y
_atom_site_fract_z
_atom_site_occupancy
K1 K 0.2500 0.2500 0.2500 1
Zn1 Zn 0.0000 0.0000 0.0000 1
Ag1 Ag 0.0000 0.0000 0.5000 1
F1 F 0.0000 0.0000 0.2354 1
F2 F 0.0000 0.2500 0.5000 1
# formation energy (no corrections) = -195.64 kJ per mole of atoms
# Fermi-level density of states = 6.9 states/eV per cell

# PBE K3ZnAg2F9, optimized geometry
data_K3ZnAg2F9
_chemical_formula_sum 'K3 Zn1 Ag2 F9'
_space_group_name_H-M_alt 'P -3 m 1'
_space_group_IT_number 164
_space_group_name_Hall '-P 3 2"'
_cell_length_a 6.0875
_cell_length_b 6.0875
_cell_length_c 7.4769
_cell_angle_alpha 90.00
_cell_angle_beta 90.00
_cell_angle_gamma 120.00
loop_
_atom_site_label
_atom_site_type_symbol
_atom_site_fract_x
_atom_site_fract_y
_atom_site_fract_z
_atom_site_occupancy
K1 K 0.0000 0.0000 0.0000 1
K2 K 0.3333 0.6667 0.6637 1
Zn1 Zn 0.0000 0.0000 0.5000 1
Ag1 Ag 0.3333 0.6667 0.1746 1
F1 F 0.0000 0.5000 0.0000 1
F2 F 0.1580 0.3160 0.3436 1
# formation energy (no corrections) = -200.84 kJ per mole of atoms
# Fermi-level density of states = 4.4 states/eV per cell

# PBE KZn3Ag4F12, optimized geometry
data_KZn3Ag4F12
_chemical_formula_sum 'K2 Zn6 Ag8 F24'
_space_group_name_H-M_alt 'I m -3'
_space_group_IT_number 204
_space_group_name_Hall '-I 2 2 3'
_cell_length_a 8.5623
_cell_length_b 8.5623
_cell_length_c 8.5623
_cell_angle_alpha 90.00
_cell_angle_beta 90.00
_cell_angle_gamma 90.00
loop_
_atom_site_label
_atom_site_type_symbol
_atom_site_fract_x
_atom_site_fract_y
_atom_site_fract_z
_atom_site_occupancy
K1 K 0.0000 0.0000 0.0000 1
Zn1 Zn 0.0000 0.0000 0.5000 1
Ag1 Ag 0.2500 0.2500 0.2500 1
F1 F 0.0000 0.1598 0.3335 1
# formation energy (no corrections) = -166.03 kJ per mole of atoms
# Fermi-level density of states = 25.0 states/eV per cell

# PBE KZrAgF6, optimized geometry
data_KZrAgF6
_chemical_formula_sum 'K2 Zr2 Ag2 F12'
_space_group_name_H-M_alt 'C 1 2 1'
_space_group_IT_number 5
_space_group_name_Hall 'C 2y'
_cell_length_a 6.1580
_cell_length_b 10.6809
_cell_length_c 5.3095
_cell_angle_alpha 90.00
_cell_angle_beta 90.01
_cell_angle_gamma 90.00
loop_
_atom_site_label
_atom_site_type_symbol
_atom_site_fract_x
_atom_site_fract_y
_atom_site_fract_z
_atom_site_occupancy
K1 K 0.0000 0.0000 0.0000 1
Zr1 Zr 0.0000 0.6666 0.5000 1
Ag1 Ag 0.0000 0.3336 0.5000 1
F1 F 0.1342 0.5276 0.2841 1
F2 F 0.1405 0.8034 0.2841 1
F3 F 0.2231 0.1686 0.2856 1
# formation energy (no corrections) = -283.98 kJ per mole of atoms
# Fermi-level density of states = 0.0 states/eV per cell

# PBE LaAg3F, optimized geometry
data_LaAg3F
_chemical_formula_sum 'La1 Ag3 F1'
_space_group_name_H-M_alt 'P m -3 m'
_space_group_IT_number 221
_space_group_name_Hall '-P 4 2 3'
_cell_length_a 5.9140
_cell_length_b 5.9140
_cell_length_c 5.9140
_cell_angle_alpha 90.00
_cell_angle_beta 90.00
_cell_angle_gamma 90.00
loop_
_atom_site_label
_atom_site_type_symbol
_atom_site_fract_x
_atom_site_fract_y
_atom_site_fract_z
_atom_site_occupancy
La1 La 0.0000 0.0000 0.0000 1
Ag1 Ag 0.0000 0.0000 0.5000 1
F1 F 0.5000 0.5000 0.5000 1
# formation energy (no corrections) = 69.41 kJ per mole of atoms
# relative energy among the computed polymorphs = 858 meV/atom
# Fermi-level density of states = 6.7 states/eV per cell

# PBE La2Ag2F, optimized geometry
data_La2Ag2F
_chemical_formula_sum 'La4 Ag4 F2'
_space_group_name_H-M_alt 'I 4/m m m'
_space_group_IT_number 139
_space_group_name_Hall '-I 4 2'
_cell_length_a 3.7880
_cell_length_b 3.7880
_cell_length_c 17.1745
_cell_angle_alpha 90.00
_cell_angle_beta 90.00
_cell_angle_gamma 90.00
loop_
_atom_site_label
_atom_site_type_symbol
_atom_site_fract_x
_atom_site_fract_y
_atom_site_fract_z
_atom_site_occupancy
La1 La 0.0000 0.0000 0.0980 1
Ag1 Ag 0.0000 0.5000 0.2500 1
F1 F 0.0000 0.0000 0.5000 1
# formation energy (no corrections) = -59.82 kJ per mole of atoms
# relative energy among the computed polymorphs = 415 meV/atom
# Fermi-level density of states = 13.2 states/eV per cell

# PBE LaAgF, optimized geometry
data_LaAgF
_chemical_formula_sum 'La4 Ag4 F4'
_space_group_name_H-M_alt 'I 4/m m m'
_space_group_IT_number 139
_space_group_name_Hall '-I 4 2'
_cell_length_a 3.8146
_cell_length_b 3.8146
_cell_length_c 17.0423
_cell_angle_alpha 90.00
_cell_angle_beta 90.00
_cell_angle_gamma 90.00
loop_
_atom_site_label
_atom_site_type_symbol
_atom_site_fract_x
_atom_site_fract_y
_atom_site_fract_z
_atom_site_occupancy
La1 La 0.0000 0.0000 0.1024 1
Ag1 Ag 0.0000 0.0000 0.2914 1
F1 F 0.0000 0.5000 0.0000 1
# formation energy (no corrections) = -176.34 kJ per mole of atoms
# Fermi-level density of states = 7.8 states/eV per cell

# PBE LaAg2F, optimized geometry
data_LaAg2F
_chemical_formula_sum 'La4 Ag8 F4'
_space_group_name_H-M_alt 'I -4 2 d'
_space_group_IT_number 122
_space_group_name_Hall 'I -4 2bw'
_cell_length_a 8.7197
_cell_length_b 8.7197
_cell_length_c 4.9576
_cell_angle_alpha 90.00
_cell_angle_beta 90.00
_cell_angle_gamma 90.00
loop_
_atom_site_label
_atom_site_type_symbol
_atom_site_fract_x
_atom_site_fract_y
_atom_site_fract_z
_atom_site_occupancy
La1 La 0.0000 0.0000 0.0000 1
Ag1 Ag 0.2093 0.2500 0.6250 1
F1 F 0.0000 0.0000 0.5000 1
# formation energy (no corrections) = -103.02 kJ per mole of atoms
# relative energy among the computed polymorphs = 0 meV/atom
# Fermi-level density of states = 6.8 states/eV per cell

# PBE LaAg2F6, optimized geometry
data_LaAg2F6
_chemical_formula_sum 'La2 Ag4 F12'
_space_group_name_H-M_alt 'C 1 2/m 1'
_space_group_IT_number 12
_space_group_name_Hall '-C 2y'
_cell_length_a 12.0400
_cell_length_b 4.3106
_cell_length_c 7.6601
_cell_angle_alpha 90.00
_cell_angle_beta 125.17
_cell_angle_gamma 90.00
loop_
_atom_site_label
_atom_site_type_symbol
_atom_site_fract_x
_atom_site_fract_y
_atom_site_fract_z
_atom_site_occupancy
La1 La 0.0000 0.0000 0.0000 1
Ag1 Ag 0.1835 0.0000 0.6342 1
F1 F 0.0044 0.0000 0.6978 1
F2 F 0.1201 0.5000 0.0430 1
F3 F 0.2404 0.0000 0.3213 1
# formation energy (no corrections) = -232.43 kJ per mole of atoms
# relative energy among the computed polymorphs = 0 meV/atom
# Fermi-level density of states = 7.8 states/eV per cell

# PBE LaAg2F, optimized geometry
data_LaAg2F
_chemical_formula_sum 'La4 Ag8 F4'
_space_group_name_H-M_alt 'F m -3 m'
_space_group_IT_number 225
_space_group_name_Hall '-F 4 2 3'
_cell_length_a 7.1494
_cell_length_b 7.1494
_cell_length_c 7.1494
_cell_angle_alpha 90.00
_cell_angle_beta 90.00
_cell_angle_gamma 90.00
loop_
_atom_site_label
_atom_site_type_symbol
_atom_site_fract_x
_atom_site_fract_y
_atom_site_fract_z
_atom_site_occupancy
La1 La 0.0000 0.0000 0.0000 1
Ag1 Ag 0.2500 0.2500 0.2500 1
F1 F 0.0000 0.0000 0.5000 1
# formation energy (no corrections) = -54.50 kJ per mole of atoms
# relative energy among the computed polymorphs = 503 meV/atom
# Fermi-level density of states = 0.2 states/eV per cell

# PBE La2AgF, optimized geometry
data_La2AgF
_chemical_formula_sum 'La8 Ag4 F4'
_space_group_name_H-M_alt 'I -4 2 d'
_space_group_IT_number 122
_space_group_name_Hall 'I -4 2bw'
_cell_length_a 6.1495
_cell_length_b 6.1495
_cell_length_c 12.9478
_cell_angle_alpha 90.00
_cell_angle_beta 90.00
_cell_angle_gamma 90.00
loop_
_atom_site_label
_atom_site_type_symbol
_atom_site_fract_x
_atom_site_fract_y
_atom_site_fract_z
_atom_site_occupancy
La1 La 0.1863 0.2500 0.1250 1
Ag1 Ag 0.0000 0.0000 0.5000 1
F1 F 0.0000 0.0000 0.0000 1
# formation energy (no corrections) = -109.53 kJ per mole of atoms
# relative energy among the computed polymorphs = 129 meV/atom
# Fermi-level density of states = 14.7 states/eV per cell

# PBE LaAgF, optimized geometry
data_LaAgF
_chemical_formula_sum 'La4 Ag4 F4'
_space_group_name_H-M_alt 'C 1 2/m 1'
_space_group_IT_number 12
_space_group_name_Hall '-C 2y'
_cell_length_a 9.0739
_cell_length_b 4.2182
_cell_length_c 8.7612
_cell_angle_alpha 90.00
_cell_angle_beta 120.89
_cell_angle_gamma 90.00
loop_
_atom_site_label
_atom_site_type_symbol
_atom_site_fract_x
_atom_site_fract_y
_atom_site_fract_z
_atom_site_occupancy
La1 La 0.1771 0.0000 0.2658 1
Ag1 Ag 0.1356 0.5000 0.9642 1
F1 F 0.2144 0.0000 0.5700 1
# formation energy (no corrections) = -180.97 kJ per mole of atoms
# Fermi-level density of states = 3.8 states/eV per cell

# PBE LaAgF, optimized geometry
data_LaAgF
_chemical_formula_sum 'La1 Ag1 F1'
_space_group_name_H-M_alt 'P -6 m 2'
_space_group_IT_number 187
_space_group_name_Hall 'P -6 2'
_cell_length_a 4.2079
_cell_length_b 4.2079
_cell_length_c 4.6400
_cell_angle_alpha 90.00
_cell_angle_beta 90.00
_cell_angle_gamma 120.00
loop_
_atom_site_label
_atom_site_type_symbol
_atom_site_fract_x
_atom_site_fract_y
_atom_site_fract_z
_atom_site_occupancy
La1 La 0.0000 0.0000 0.0000 1
Ag1 Ag 0.6667 0.3333 0.5000 1
F1 F 0.3333 0.6667 0.0000 1
# formation energy (no corrections) = -165.06 kJ per mole of atoms
# Fermi-level density of states = 1.5 states/eV per cell

# PBE LaAgF, optimized geometry
data_LaAgF
_chemical_formula_sum 'La2 Ag2 F2'
_space_group_name_H-M_alt 'P m m n'
_space_group_IT_number 59
_cell_length_a 3.5390
_cell_length_b 3.5824
_cell_length_c 9.3569
_cell_angle_alpha 90.00
_cell_angle_beta 90.00
_cell_angle_gamma 90.00
loop_
_space_group_symop_operation_xyz
'x,y,z'
'-x,-y,-z'
'-x+1/2,-y+1/2,z'
'x+1/2,y+1/2,-z'
'x+1/2,-y,-z'
'-x+1/2,y,z'
'-x,y+1/2,-z'
'x,-y+1/2,z'
loop_
_atom_site_label
_atom_site_type_symbol
_atom_site_fract_x
_atom_site_fract_y
_atom_site_fract_z
_atom_site_occupancy
La1 La 0.2500 0.2500 0.1981 1
Ag1 Ag 0.2500 0.2500 0.5754 1
F1 F 0.2500 0.2500 0.9306 1
# formation energy (no corrections) = -165.93 kJ per mole of atoms
# Fermi-level density of states = 5.5 states/eV per cell

# PBE La2AgF, optimized geometry
data_La2AgF
_chemical_formula_sum 'La6 Ag3 F3'
_space_group_name_H-M_alt 'R -3 m'
_space_group_IT_number 166
_space_group_name_Hall '-R 3 2"'
_cell_length_a 4.1995
_cell_length_b 4.1995
_cell_length_c 19.8140
_cell_angle_alpha 90.00
_cell_angle_beta 90.00
_cell_angle_gamma 120.00
loop_
_atom_site_label
_atom_site_type_symbol
_atom_site_fract_x
_atom_site_fract_y
_atom_site_fract_z
_atom_site_occupancy
La1 La 0.0000 0.0000 0.2361 1
Ag1 Ag 0.0000 0.0000 0.0000 1
F1 F 0.0000 0.0000 0.5000 1
# formation energy (no corrections) = -121.94 kJ per mole of atoms
# relative energy among the computed polymorphs = 0 meV/atom
# Fermi-level density of states = 8.6 states/eV per cell